Sr2LiCa | GGA-PBEsol | relaxed

Cell lengths 4.3267, 6.3389, 12.2360 Å; angles 90.00, 90.00, 90.00 degrees
Closest atoms and distances in Å follow each position.
Space group Immm (No. 71)
Unique sites:
Sr 0.0000 0.0000 0.2243 (multiplicity 4)  2 Li 3.49, 4 Sr 3.89
Li 0.0000 0.5000 0.5000 (multiplicity 2)  4 Sr 3.49, 4 Ca 3.84
Ca 0.0000 0.5000 0.0000 (multiplicity 2)  4 Li 3.84, 8 Sr 4.01-4.19

Properties
Total magnetic moment: 0.001 μB/f.u.
Uncorrected energy: -1.88 eV per atom
D(E_F): 0.9857 states/eV per atom



Na3AsI | GGA-PBEsol | relaxed

Cell lengths 5.5319, 5.5319, 5.5319 Å; angles 90.00, 90.00, 90.00 degrees
Closest atoms and distances in Å follow each position.
Space group Pm-3m (No. 221)
Unique sites:
Na 0.0000 0.0000 0.5000 (multiplicity 3)  2 As 2.77
As 0.0000 0.0000 0.0000 (multiplicity 1)  6 Na 2.77
I 0.5000 0.5000 0.5000 (multiplicity 1)  12 Na 3.91

Properties
Total magnetic moment: 1.017 μB/f.u.
Uncorrected energy: -2.64 eV per atom
D(E_F): 0.8650 states/eV per atom
Raw formation energy: -0.424 eV/atom